1.
ZnNiPd: relaxed, PBE.

Cell: 2.6882 4.1632 4.1632 Å, 120.00 90.00 90.00°
Positions (direct):
Ni 0.4181 0.3333 0.6667
Pd 0.9921 0.0000 0.0000
Zn 0.5898 0.6667 0.3333

Calculated values
DFT total energy ... -12.80 eV per cell
Volume ... 40 Å³/cell
Formation energy ... -0.1826 eV/atom

---

2.
Zn4Ni3Pd: relaxed, PBE.

Cell: 4.1602 4.1602 7.2299 Å, 73.28 73.28 60.00°
Positions (direct):
Zn 0.1280 0.1280 0.6161
Zn 0.6213 0.6213 0.1361
Ni 0.2495 0.2495 0.2515
Zn 0.8720 0.8720 0.3839
Pd 0.0000 0.0000 0.0000
Zn 0.3787 0.3787 0.8639
Ni 0.5000 0.5000 0.5000
Ni 0.7505 0.7505 0.7485

Calculated values
DFT total energy ... -29.95 eV per cell
Volume ... 102 Å³/cell
Formation energy ... -0.2898 eV/atom

---

3.
Zn2NiPd6: relaxed, PBE.

Cell: 4.0636 8.0416 8.0417 Å, 90.00 90.00 90.00°
Each line ends with the local moment (μB).
Positions (direct):
Zn 0.0000 0.3127 0.8128  -0.01
Ni 0.5000 0.5000 0.0000  0.62
Pd 0.0000 0.9829 0.8252  0.06
Pd 0.0000 0.6749 0.5171  0.06
Pd 0.5000 0.8615 0.3615  0.09
Pd 0.5000 0.1385 0.6385  0.09
Zn 0.5000 0.8128 0.6872  -0.01
Pd 0.0000 0.6385 0.8615  0.09
Pd 0.0000 0.0171 0.1748  0.06
Zn 0.0000 0.6873 0.1872  -0.01
Pd 0.0000 0.3615 0.1385  0.09
Pd 0.5000 0.5171 0.3251  0.06
Ni 0.0000 0.0000 0.5000  0.62
Pd 0.5000 0.8252 0.0171  0.06
Pd 0.5000 0.1748 0.9829  0.06
Pd 0.0000 0.3251 0.4829  0.06
Pd 0.5000 0.4829 0.6749  0.06
Zn 0.5000 0.1872 0.3128  -0.01

Calculated values
DFT total energy ... -84.12 eV per cell
Volume ... 263 Å³/cell
Formation energy ... -0.2857 eV/atom

---

Q: What is the formation energy in the second record?
A: -0.2898 eV/atom